--- one ---
The following is a DFT calculation (PBE-GGA) of a geometry-optimized LiHg3Rh structure.

```
data_LiHg3Rh
_cell_length_a 5.241
_cell_length_b 5.241
_cell_length_c 5.241
_cell_angle_alpha 90.00
_cell_angle_beta 90.00
_cell_angle_gamma 90.00
_space_group_name_H-M_alt 'P 1'
_space_group_IT_number 1
_space_group_name_Hall 'P 1'
loop_
_atom_site_label
_atom_site_type_symbol
_atom_site_fract_x
_atom_site_fract_y
_atom_site_fract_z
Hg1 Hg 0.000 0.500 0.000
Hg2 Hg 0.000 0.000 0.500
Hg3 Hg 0.500 0.000 0.000
Rh1 Rh 0.000 0.000 0.000
Li1 Li 0.500 0.500 0.500
```

Properties
SG = Pm-3m
D(E_F) = 1.6 states/eV/cell
spin magnetization = 0.0 μB/f.u.


--- two ---
The following is a DFT calculation (PBE-GGA) of a geometry-optimized LiHg3Rh structure.

```
data_LiHg3Rh
_cell_length_a 4.708
_cell_length_b 4.708
_cell_length_c 4.708
_cell_angle_alpha 90.00
_cell_angle_beta 90.00
_cell_angle_gamma 90.00
_space_group_name_H-M_alt 'P 1'
_space_group_IT_number 1
_space_group_name_Hall 'P 1'
loop_
_atom_site_label
_atom_site_type_symbol
_atom_site_fract_x
_atom_site_fract_y
_atom_site_fract_z
Hg1 Hg 0.500 0.000 0.000
Hg2 Hg 0.000 0.000 0.500
Hg3 Hg 0.000 0.500 0.000
Li1 Li 0.000 0.000 0.000
Rh1 Rh 0.500 0.500 0.500
```

Properties
SG = Pm-3m
D(E_F) = 7.2 states/eV/cell
spin magnetization = 0.3 μB/f.u.


Computed energies relative to the best structure, in kJ/mol of atoms: one 0.0; two 47.4


--- one ---
The following is a DFT calculation (PBE-GGA) of a geometry-optimized Li4HgRh structure.

```
data_Li4HgRh
_cell_length_a 4.341
_cell_length_b 5.501
_cell_length_c 8.075
_cell_angle_alpha 70.08
_cell_angle_beta 90.00
_cell_angle_gamma 90.01
_space_group_name_H-M_alt 'P 1'
_space_group_IT_number 1
_space_group_name_Hall 'P 1'
loop_
_atom_site_label
_atom_site_type_symbol
_atom_site_fract_x
_atom_site_fract_y
_atom_site_fract_z
Li1 Li 0.750 0.734 0.585
Li2 Li 0.250 0.448 0.084
Li3 Li 0.250 0.819 0.415
Li4 Li 0.250 0.968 0.084
Li5 Li 0.250 0.266 0.415
Li6 Li 0.750 0.181 0.585
Li7 Li 0.750 0.032 0.916
Li8 Li 0.750 0.552 0.916
Rh1 Rh 0.250 0.874 0.752
Rh2 Rh 0.750 0.126 0.248
Hg1 Hg 0.750 0.622 0.255
Hg2 Hg 0.250 0.378 0.745
```

Properties
SG = Cmcm
D(E_F) = 4.4 states/eV/cell
spin magnetization = 0.0 μB/f.u.


--- two ---
The following is a DFT calculation (PBE-GGA) of a geometry-optimized Li4HgRh structure.

```
data_Li4HgRh
_cell_length_a 4.394
_cell_length_b 8.051
_cell_length_c 8.074
_cell_angle_alpha 139.26
_cell_angle_beta 90.00
_cell_angle_gamma 90.00
_space_group_name_H-M_alt 'P 1'
_space_group_IT_number 1
_space_group_name_Hall 'P 1'
loop_
_atom_site_label
_atom_site_type_symbol
_atom_site_fract_x
_atom_site_fract_y
_atom_site_fract_z
Li1 Li 0.500 0.762 0.910
Li2 Li 0.500 0.238 0.090
Li3 Li 0.000 0.554 0.866
Li4 Li 0.000 0.946 0.634
Li5 Li 0.500 0.738 0.590
Li6 Li 0.000 0.446 0.134
Li7 Li 0.500 0.262 0.410
Li8 Li 0.000 0.054 0.366
Hg1 Hg 0.500 0.750 0.250
Hg2 Hg 0.500 0.250 0.750
Rh1 Rh 0.000 0.000 0.000
Rh2 Rh 0.000 0.500 0.500
```

Properties
SG = P2/m
D(E_F) = 6.5 states/eV/cell
spin magnetization = 0.5 μB/f.u.


Computed energies relative to the best structure, in kJ/mol of atoms: one 0.0; two 5.4


--- one ---
The following is a DFT calculation (PBE-GGA) of a geometry-optimized Sr2LiHgRh structure.

```
data_Sr2LiHgRh
_cell_length_a 5.715
_cell_length_b 5.715
_cell_length_c 5.335
_cell_angle_alpha 90.00
_cell_angle_beta 90.00
_cell_angle_gamma 90.00
_space_group_name_H-M_alt 'P 1'
_space_group_IT_number 1
_space_group_name_Hall 'P 1'
loop_
_atom_site_label
_atom_site_type_symbol
_atom_site_fract_x
_atom_site_fract_y
_atom_site_fract_z
Hg1 Hg 0.000 0.000 0.500
Rh1 Rh 0.000 0.000 0.000
Sr1 Sr 0.500 0.000 0.000
Sr2 Sr 0.000 0.500 0.000
Li1 Li 0.500 0.500 0.500
```

Properties
SG = P4/mmm
D(E_F) = 4.0 states/eV/cell
spin magnetization = 0.0 μB/f.u.


--- two ---
The following is a DFT calculation (PBE-GGA) of a geometry-optimized Sr2LiHgRh structure.

```
data_Sr2LiHgRh
_cell_length_a 5.775
_cell_length_b 4.256
_cell_length_c 5.775
_cell_angle_alpha 90.00
_cell_angle_beta 90.00
_cell_angle_gamma 90.00
_space_group_name_H-M_alt 'P 1'
_space_group_IT_number 1
_space_group_name_Hall 'P 1'
loop_
_atom_site_label
_atom_site_type_symbol
_atom_site_fract_x
_atom_site_fract_y
_atom_site_fract_z
Sr1 Sr 0.000 0.000 0.500
Sr2 Sr 0.500 0.000 0.000
Li1 Li 0.000 0.000 0.000
Rh1 Rh 0.000 0.500 0.000
Hg1 Hg 0.500 0.500 0.500
```

Properties
SG = P4/mmm
D(E_F) = 3.7 states/eV/cell
spin magnetization = 0.0 μB/f.u.


--- three ---
The following is a DFT calculation (PBE-GGA) of a geometry-optimized Sr2LiHgRh structure.

```
data_Sr2LiHgRh
_cell_length_a 5.713
_cell_length_b 5.713
_cell_length_c 4.801
_cell_angle_alpha 90.00
_cell_angle_beta 90.00
_cell_angle_gamma 90.00
_space_group_name_H-M_alt 'P 1'
_space_group_IT_number 1
_space_group_name_Hall 'P 1'
loop_
_atom_site_label
_atom_site_type_symbol
_atom_site_fract_x
_atom_site_fract_y
_atom_site_fract_z
Sr1 Sr 0.500 0.000 0.000
Sr2 Sr 0.000 0.500 0.000
Li1 Li 0.000 0.000 0.500
Hg1 Hg 0.500 0.500 0.500
Rh1 Rh 0.000 0.000 0.000
```

Properties
SG = P4/mmm
D(E_F) = 3.2 states/eV/cell
spin magnetization = 0.0 μB/f.u.


Computed energies relative to the best structure, in kJ/mol of atoms: one 4.7; two 20.6; three 0.0


--- one ---
The following is a DFT calculation (PBE-GGA) of a geometry-optimized LiHg3Ru structure.

```
data_LiHg3Ru
_cell_length_a 5.244
_cell_length_b 5.244
_cell_length_c 5.244
_cell_angle_alpha 90.00
_cell_angle_beta 90.00
_cell_angle_gamma 90.00
_space_group_name_H-M_alt 'P 1'
_space_group_IT_number 1
_space_group_name_Hall 'P 1'
loop_
_atom_site_label
_atom_site_type_symbol
_atom_site_fract_x
_atom_site_fract_y
_atom_site_fract_z
Ru1 Ru 0.000 0.000 0.000
Hg1 Hg 0.000 0.500 0.000
Hg2 Hg 0.000 0.000 0.500
Hg3 Hg 0.500 0.000 0.000
Li1 Li 0.500 0.500 0.500
```

Properties
SG = Pm-3m
D(E_F) = 3.1 states/eV/cell
spin magnetization = 0.1 μB/f.u.


--- two ---
The following is a DFT calculation (PBE-GGA) of a geometry-optimized LiHg3Ru structure.

```
data_LiHg3Ru
_cell_length_a 4.713
_cell_length_b 4.713
_cell_length_c 4.713
_cell_angle_alpha 90.00
_cell_angle_beta 90.00
_cell_angle_gamma 90.00
_space_group_name_H-M_alt 'P 1'
_space_group_IT_number 1
_space_group_name_Hall 'P 1'
loop_
_atom_site_label
_atom_site_type_symbol
_atom_site_fract_x
_atom_site_fract_y
_atom_site_fract_z
Hg1 Hg 0.000 0.500 0.000
Hg2 Hg 0.500 0.000 0.000
Hg3 Hg 0.000 0.000 0.500
Ru1 Ru 0.500 0.500 0.500
Li1 Li 0.000 0.000 0.000
```

Properties
SG = Pm-3m
D(E_F) = 8.4 states/eV/cell
spin magnetization = 2.3 μB/f.u.


Computed energies relative to the best structure, in kJ/mol of atoms: one 0.0; two 42.2


--- one ---
The following is a DFT calculation (PBE-GGA) of a geometry-optimized Li3HgS structure.

```
data_Li3HgS
_cell_length_a 4.649
_cell_length_b 4.649
_cell_length_c 4.649
_cell_angle_alpha 90.00
_cell_angle_beta 90.00
_cell_angle_gamma 90.00
_space_group_name_H-M_alt 'P 1'
_space_group_IT_number 1
_space_group_name_Hall 'P 1'
loop_
_atom_site_label
_atom_site_type_symbol
_atom_site_fract_x
_atom_site_fract_y
_atom_site_fract_z
Li1 Li 0.000 0.000 0.500
Li2 Li 0.000 0.500 0.000
Li3 Li 0.500 0.000 0.000
Hg1 Hg 0.500 0.500 0.500
S1 S 0.000 0.000 0.000
```

Properties
SG = Pm-3m
D(E_F) = 2.9 states/eV/cell
spin magnetization = 0.0 μB/f.u.


--- two ---
The following is a DFT calculation (PBE-GGA) of a geometry-optimized Li3HgS structure.

```
data_Li3HgS
_cell_length_a 4.876
_cell_length_b 4.876
_cell_length_c 4.876
_cell_angle_alpha 90.00
_cell_angle_beta 90.00
_cell_angle_gamma 90.00
_space_group_name_H-M_alt 'P 1'
_space_group_IT_number 1
_space_group_name_Hall 'P 1'
loop_
_atom_site_label
_atom_site_type_symbol
_atom_site_fract_x
_atom_site_fract_y
_atom_site_fract_z
Li1 Li 0.000 0.000 0.500
Li2 Li 0.500 0.000 0.000
Li3 Li 0.000 0.500 0.000
Hg1 Hg 0.000 0.000 0.000
S1 S 0.500 0.500 0.500
```

Properties
SG = Pm-3m
D(E_F) = 2.4 states/eV/cell
spin magnetization = 0.0 μB/f.u.


Computed energies relative to the best structure, in kJ/mol of atoms: one 0.0; two 69.8


--- one ---
The following is a DFT calculation (PBE-GGA) of a geometry-optimized LiHg3S structure.

```
data_LiHg3S
_cell_length_a 5.388
_cell_length_b 5.388
_cell_length_c 5.388
_cell_angle_alpha 90.00
_cell_angle_beta 90.00
_cell_angle_gamma 90.00
_space_group_name_H-M_alt 'P 1'
_space_group_IT_number 1
_space_group_name_Hall 'P 1'
loop_
_atom_site_label
_atom_site_type_symbol
_atom_site_fract_x
_atom_site_fract_y
_atom_site_fract_z
S1 S 0.000 0.000 0.000
Li1 Li 0.500 0.500 0.500
Hg1 Hg 0.000 0.000 0.500
Hg2 Hg 0.000 0.500 0.000
Hg3 Hg 0.500 0.000 0.000
```

Properties
SG = Pm-3m
D(E_F) = 3.0 states/eV/cell
spin magnetization = 0.0 μB/f.u.


--- two ---
The following is a DFT calculation (PBE-GGA) of a geometry-optimized LiHg3S structure.

```
data_LiHg3S
_cell_length_a 5.106
_cell_length_b 5.106
_cell_length_c 5.106
_cell_angle_alpha 90.00
_cell_angle_beta 90.00
_cell_angle_gamma 90.00
_space_group_name_H-M_alt 'P 1'
_space_group_IT_number 1
_space_group_name_Hall 'P 1'
loop_
_atom_site_label
_atom_site_type_symbol
_atom_site_fract_x
_atom_site_fract_y
_atom_site_fract_z
Hg1 Hg 0.000 0.000 0.500
Hg2 Hg 0.500 0.000 0.000
Hg3 Hg 0.000 0.500 0.000
S1 S 0.500 0.500 0.500
Li1 Li 0.000 0.000 0.000
```

Properties
SG = Pm-3m
D(E_F) = 2.9 states/eV/cell
spin magnetization = 1.0 μB/f.u.


Computed energies relative to the best structure, in kJ/mol of atoms: one 0.9; two 0.0


--- one ---
The following is a DFT calculation (PBE-GGA) of a geometry-optimized Li3HgSb structure.

```
data_Li3HgSb
_cell_length_a 5.100
_cell_length_b 7.763
_cell_length_c 10.766
_cell_angle_alpha 113.97
_cell_angle_beta 90.00
_cell_angle_gamma 90.00
_space_group_name_H-M_alt 'P 1'
_space_group_IT_number 1
_space_group_name_Hall 'P 1'
loop_
_atom_site_label
_atom_site_type_symbol
_atom_site_fract_x
_atom_site_fract_y
_atom_site_fract_z
Li1 Li 0.750 0.143 0.147
Li2 Li 0.750 0.434 0.051
Li3 Li 0.750 0.856 0.253
Li4 Li 0.250 0.644 0.247
Li5 Li 0.750 0.934 0.551
Li6 Li 0.250 0.066 0.449
Li7 Li 0.750 0.643 0.647
Li8 Li 0.250 0.357 0.353
Li9 Li 0.250 0.566 0.949
Li10 Li 0.250 0.857 0.853
Li11 Li 0.250 0.144 0.747
Li12 Li 0.750 0.356 0.753
Hg1 Hg 0.250 0.781 0.543
Hg2 Hg 0.250 0.281 0.043
Hg3 Hg 0.750 0.719 0.957
Hg4 Hg 0.750 0.219 0.457
Sb1 Sb 0.250 0.952 0.161
Sb2 Sb 0.750 0.548 0.339
Sb3 Sb 0.250 0.452 0.661
Sb4 Sb 0.750 0.048 0.839
```

Properties
SG = P2_1/m
D(E_F) = 0.4 states/eV/cell
spin magnetization = 0.0 μB/f.u.


--- two ---
The following is a DFT calculation (PBE-GGA) of a geometry-optimized Li3HgSb structure.

```
data_Li3HgSb
_cell_length_a 8.323
_cell_length_b 8.323
_cell_length_c 8.323
_cell_angle_alpha 41.67
_cell_angle_beta 41.67
_cell_angle_gamma 41.67
_space_group_name_H-M_alt 'P 1'
_space_group_IT_number 1
_space_group_name_Hall 'P 1'
loop_
_atom_site_label
_atom_site_type_symbol
_atom_site_fract_x
_atom_site_fract_y
_atom_site_fract_z
Sb1 Sb 0.714 0.714 0.714
Sb2 Sb 0.286 0.286 0.286
Li1 Li 0.725 0.223 0.224
Li2 Li 0.777 0.776 0.275
Li3 Li 0.224 0.725 0.223
Li4 Li 0.776 0.275 0.777
Li5 Li 0.275 0.777 0.776
Li6 Li 0.223 0.224 0.725
Hg1 Hg 0.846 0.846 0.846
Hg2 Hg 0.154 0.154 0.154
```

Properties
SG = R-3m
D(E_F) = 3.2 states/eV/cell
spin magnetization = 0.0 μB/f.u.


Computed energies relative to the best structure, in kJ/mol of atoms: one 0.0; two 16.0


--- one ---
The following is a DFT calculation (PBE-GGA) of a geometry-optimized Li3Hg3Sb structure.

```
data_Li3Hg3Sb
_cell_length_a 6.770
_cell_length_b 6.770
_cell_length_c 6.372
_cell_angle_alpha 89.98
_cell_angle_beta 89.98
_cell_angle_gamma 89.72
_space_group_name_H-M_alt 'P 1'
_space_group_IT_number 1
_space_group_name_Hall 'P 1'
loop_
_atom_site_label
_atom_site_type_symbol
_atom_site_fract_x
_atom_site_fract_y
_atom_site_fract_z
Li1 Li 0.500 0.000 0.758
Li2 Li 0.000 0.000 0.772
Li3 Li 0.000 0.500 0.758
Li4 Li 0.000 0.000 0.228
Li5 Li 0.000 0.500 0.242
Li6 Li 0.500 0.000 0.242
Sb1 Sb 0.726 0.726 0.000
Sb2 Sb 0.274 0.274 0.000
Hg1 Hg 0.259 0.741 0.500
Hg2 Hg 0.267 0.733 0.000
Hg3 Hg 0.741 0.259 0.500
Hg4 Hg 0.732 0.732 0.500
Hg5 Hg 0.268 0.268 0.500
Hg6 Hg 0.733 0.267 0.000
```

Properties
SG = Cmmm
D(E_F) = 3.7 states/eV/cell
spin magnetization = 0.0 μB/f.u.


--- two ---
The following is a DFT calculation (PBE-GGA) of a geometry-optimized Li3Hg3Sb structure.

```
data_Li3Hg3Sb
_cell_length_a 7.183
_cell_length_b 7.183
_cell_length_c 7.183
_cell_angle_alpha 90.00
_cell_angle_beta 90.00
_cell_angle_gamma 90.00
_space_group_name_H-M_alt 'P 1'
_space_group_IT_number 1
_space_group_name_Hall 'P 1'
loop_
_atom_site_label
_atom_site_type_symbol
_atom_site_fract_x
_atom_site_fract_y
_atom_site_fract_z
Li1 Li 0.000 0.250 0.500
Li2 Li 0.500 0.000 0.750
Li3 Li 0.500 0.000 0.250
Li4 Li 0.000 0.750 0.500
Li5 Li 0.750 0.500 0.000
Li6 Li 0.250 0.500 0.000
Hg1 Hg 0.250 0.000 0.500
Hg2 Hg 0.500 0.250 0.000
Hg3 Hg 0.500 0.750 0.000
Hg4 Hg 0.750 0.000 0.500
Hg5 Hg 0.000 0.500 0.250
Hg6 Hg 0.000 0.500 0.750
Sb1 Sb 0.500 0.500 0.500
Sb2 Sb 0.000 0.000 0.000
```

Properties
SG = Pm-3n
D(E_F) = 4.0 states/eV/cell
spin magnetization = 0.0 μB/f.u.


Computed energies relative to the best structure, in kJ/mol of atoms: one 0.0; two 38.5